Record 1
Computed, not measured: a relaxed MgSiPd2Ru crystal at the PBE-GGA level of DFT.

Results
- V: 21.92 Å³ per atom
- Total energy: -4.2459 eV/atom
- N(E_F): 1.283 states/eV per atom
- ΔE_f (raw): 1.090 eV/atom

Unit cell a=4.790 b=4.777 c=4.790 alpha=90.00 beta=90.00 gamma=90.00
Sites, in units of the cell vectors:
Ru1 0.000 0.000 0.000
Si1 0.500 0.500 0.500
Mg1 0.000 0.500 0.000
Pd1 0.000 0.000 0.500
Pd2 0.500 0.000 0.000

Record 2
Computed, not measured: a relaxed CaGdCdBi crystal at the PBE-GGA level of DFT.

Results
- Energy of formation: -0.485 eV per atom
- V: 29.25 Å³ per atom
- Total energy: -5.7051 eV/atom
- N(E_F): 1.405 states/eV per atom

Unit cell a=5.490 b=5.490 c=5.490 alpha=60.00 beta=60.00 gamma=60.00
Sites, in units of the cell vectors:
Ca1 0.250 0.250 0.250
Gd1 0.750 0.750 0.750
Bi1 0.500 0.500 0.500
Cd1 0.000 0.000 0.000

Record 3
Computed, not measured: a relaxed Zn2PtAu crystal at the PBE-GGA level of DFT.

Results
- Energy of formation: -0.287 eV per atom
- V: 15.81 Å³ per atom
- Total energy: -3.2536 eV/atom
- N(E_F): 0.513 states/eV per atom

Unit cell a=8.690 b=8.690 c=8.690 alpha=19.39 beta=19.39 gamma=19.39
Sites, in units of the cell vectors:
Au1 0.250 0.250 0.250
Pt1 0.750 0.750 0.750
Zn1 0.003 0.003 0.003
Zn2 0.497 0.497 0.497

Record 4
Computed, not measured: a relaxed SnTe2H crystal at the PBE-GGA level of DFT.

Results
- V: 27.97 Å³ per atom
- Total energy: -3.1001 eV/atom
- N(E_F): 0.646 states/eV per atom
- ΔE to the lowest computed polymorph: 23.5 kJ per mole of atoms

Unit cell a=6.174 b=6.174 c=7.315 alpha=65.04 beta=65.04 gamma=90.00
Sites, in units of the cell vectors:
H1 0.500 0.500 0.000
H2 0.250 0.750 0.500
Te1 0.538 0.125 0.250
Te2 0.212 0.625 0.250
Te3 0.375 0.462 0.750
Te4 0.875 0.788 0.750
Sn1 0.000 0.000 0.000
Sn2 0.750 0.250 0.500

Record 5
Computed, not measured: a relaxed Cu4PdAu6 crystal at the PBE-GGA level of DFT.

Results
- Energy of formation: 0.088 eV per atom
- V: 16.89 Å³ per atom
- Total energy: -3.6613 eV/atom
- N(E_F): 0.241 states/eV per atom

Unit cell a=5.225 b=5.225 c=7.742 alpha=109.72 beta=109.72 gamma=90.00
Sites, in units of the cell vectors:
Cu1 0.061 0.674 0.735
Cu2 0.939 0.939 0.265
Cu3 0.674 0.061 0.735
Cu4 0.326 0.326 0.265
Pd1 0.500 0.500 0.000
Au1 0.884 0.472 0.356
Au2 0.472 0.884 0.356
Au3 0.528 0.528 0.644
Au4 0.000 0.500 0.000
Au5 0.116 0.116 0.644
Au6 0.500 0.000 0.000

Record 6
Computed, not measured: a relaxed CaDyGe4 crystal at the PBE-GGA level of DFT.

Results
- Energy of formation: -0.321 eV per atom
- V: 21.47 Å³ per atom
- Total energy: -4.5002 eV/atom
- N(E_F): 1.025 states/eV per atom

Unit cell a=5.669 b=5.669 c=5.669 alpha=60.00 beta=60.00 gamma=60.00
Sites, in units of the cell vectors:
Ge1 0.625 0.625 0.126
Ge2 0.625 0.126 0.625
Ge3 0.625 0.625 0.625
Ge4 0.126 0.625 0.625
Ca1 0.000 0.000 0.000
Dy1 0.250 0.250 0.250

Record 7
Computed, not measured: a relaxed NaHoInPd crystal at the PBE-GGA level of DFT.

Results
- Energy of formation: -0.388 eV per atom
- V: 21.19 Å³ per atom
- Total energy: -3.8450 eV/atom
- N(E_F): 1.347 states/eV per atom

Unit cell a=4.930 b=4.930 c=4.930 alpha=60.00 beta=60.00 gamma=60.00
Sites, in units of the cell vectors:
Na1 0.500 0.500 0.500
Ho1 0.750 0.750 0.750
Pd1 0.000 0.000 0.000
In1 0.250 0.250 0.250

Record 8
Computed, not measured: a relaxed Pu2GaSb crystal at the PBE-GGA level of DFT.

Results
- V: 25.00 Å³ per atom
- Total energy: -9.3139 eV/atom
- N(E_F): 3.867 states/eV per atom
- ΔE to the lowest computed polymorph: 9.5 kJ per mole of atoms
- ΔE_f (raw): -0.361 eV/atom

Unit cell a=5.210 b=5.210 c=5.210 alpha=60.00 beta=60.00 gamma=60.00
Sites, in units of the cell vectors:
Sb1 0.000 0.000 0.000
Ga1 0.500 0.500 0.500
Pu1 0.250 0.250 0.250
Pu2 0.750 0.750 0.750

Number 2 is which compound? CaGdCdBi